(1)
# GeB3Ir PBE optimized geometry
# - crystal system = cubic
# - DFT formation energy (eV per atom) = 2.1492
# - volume (Å³ per atom) = 12.96
# - size of the total moment (μB/f.u.) = 0.00
data_GeB3Ir
_space_group_name_H-M_alt 'P m -3 m'
_space_group_IT_number 221
_space_group_name_Hall '-P 4 2 3'
_cell_length_a 4.0161
_cell_length_b 4.0161
_cell_length_c 4.0161
_cell_angle_alpha 90.00
_cell_angle_beta 90.00
_cell_angle_gamma 90.00
loop_
_atom_site_label
_atom_site_type_symbol
_atom_site_fract_x
_atom_site_fract_y
_atom_site_fract_z
Ge1 Ge 0.0000 0.0000 0.0000
B1 B 0.0000 0.0000 0.5000
Ir1 Ir 0.5000 0.5000 0.5000


(2)
# Ge2BIr PBE optimized geometry
# - crystal system = triclinic
# - DFT formation energy (eV per atom) = 0.0968
# - volume (Å³ per atom) = 15.96
# - size of the total moment (μB/f.u.) = 0.00
data_Ge2BIr
_space_group_name_H-M_alt 'P 1'
_space_group_IT_number 1
_cell_length_a 2.9552
_cell_length_b 3.9643
_cell_length_c 6.1846
_cell_angle_alpha 106.89
_cell_angle_beta 90.07
_cell_angle_gamma 111.87
loop_
_space_group_symop_operation_xyz
'x,y,z'
loop_
_atom_site_label
_atom_site_type_symbol
_atom_site_fract_x
_atom_site_fract_y
_atom_site_fract_z
Ge1 Ge 0.0000 0.0000 0.0000
Ge2 Ge 0.1592 0.3160 0.5981
B1 B 0.4962 0.9907 0.3064
Ir1 Ir 0.7881 0.5749 0.2953


(3)
# Ge2BIr PBE optimized geometry
# - crystal system = triclinic
# - DFT formation energy (eV per atom) = -0.0341
# - volume (Å³ per atom) = 15.13
# - size of the total moment (μB/f.u.) = 0.00
data_Ge2BIr
_space_group_name_H-M_alt 'P 1'
_space_group_IT_number 1
_cell_length_a 2.9622
_cell_length_b 5.9766
_cell_length_c 7.2458
_cell_angle_alpha 109.32
_cell_angle_beta 90.04
_cell_angle_gamma 90.18
loop_
_space_group_symop_operation_xyz
'x,y,z'
loop_
_atom_site_label
_atom_site_type_symbol
_atom_site_fract_x
_atom_site_fract_y
_atom_site_fract_z
Ge1 Ge 0.0000 0.0000 0.0000
Ge2 Ge 0.0068 0.3487 0.4151
Ge3 Ge 0.4875 0.7694 0.6921
Ge4 Ge 0.5040 0.3804 0.7919
B1 B 0.0033 0.8581 0.2367
B2 B 0.5031 0.6894 0.2477
Ir1 Ir 0.0022 0.4451 0.1017
Ir2 Ir 0.5042 0.0244 0.4690